# HgBiAu

A relaxed structure of HgBiAu (PBE-GGA, Alexandria).

```
HgBiAu
1.0
4.444 0.000 0.000
1.841 5.132 0.000
2.139 1.148 6.789
Hg Bi Au
2 2 2
direct
0.000 0.000 0.000
0.400 0.403 0.740
0.171 0.388 0.262
0.795 0.900 0.574
0.472 0.771 0.338
0.713 0.581 0.969
```

Calculated values
Space-group type = P1
Formation energy from the elements = 0.0243 eV/atom
VASP energy = -2.462 eV/atom